VASP calculation (PBE) on YRu2Cl after structural relaxation. Values from VASP.

Results
formation energy without anion corrections: 31.3 kJ per mole of atoms
total magnetic moment: 0.01 μB per cell
calculated total energy: -6.39 eV/atom
E above lowest polymorph: 251 kJ/mol of formula units

Geometry as Quantum ESPRESSO input:
```
&SYSTEM
  ibrav = 0, nat = 4, ntyp = 3
/
ATOMIC_SPECIES
Cl 35.45 Cl.upf
Ru 101.07 Ru.upf
Y 88.91 Y.upf
CELL_PARAMETERS angstrom
-2.982 0.298 -3.560
-0.459 -3.565 -2.956
-3.897 -2.544 0.009
ATOMIC_POSITIONS crystal
Cl 0.500 0.500 0.500
Ru 0.000 0.000 0.000
Ru 0.250 0.250 0.250
Y 0.750 0.750 0.750
```